An optimized crystal structure of Li4PrAg2, computed with PBE.

Cell: 8.0794 8.0794 4.3760 Å, 90.00 90.00 90.00°
With the nearest neighbours (Å) after each atom.
Fractional positions:
Li (0.0935, 0.3481, 0.0000)  3 Ag 2.72-2.73, 6 Li 2.88-2.99
Li (0.1519, 0.5935, 0.5000)  3 Ag 2.72-2.73, 6 Li 2.88-2.99
Li (0.3481, 0.0935, 0.0000)  3 Ag 2.72-2.73, 6 Li 2.88-2.99
Li (0.4065, 0.8481, 0.5000)  3 Ag 2.72-2.73, 6 Li 2.88-2.99
Li (0.5935, 0.1519, 0.5000)  3 Ag 2.72-2.73, 6 Li 2.88-2.99
Li (0.6519, 0.9065, 0.0000)  3 Ag 2.72-2.73, 6 Li 2.88-2.99
Li (0.8481, 0.4065, 0.5000)  3 Ag 2.72-2.73, 6 Li 2.88-2.99
Li (0.9065, 0.6519, 0.0000)  3 Ag 2.72-2.73, 6 Li 2.88-2.99
Pr (0.0000, 0.0000, 0.5000)  6 Ag 3.25-3.29, 12 Li 3.51-3.64
Pr (0.5000, 0.5000, 0.0000)  6 Ag 3.25-3.29, 12 Li 3.51-3.64
Ag (0.2152, 0.7848, 0.0000)  6 Li 2.72-2.73
Ag (0.2848, 0.2848, 0.5000)  6 Li 2.72-2.73
Ag (0.7152, 0.7152, 0.5000)  6 Li 2.72-2.73
Ag (0.7848, 0.2152, 0.0000)  6 Li 2.72-2.73

Energy relative to the elements in eV per formula unit: -1.03
ρ in g cm⁻³: 4.469